5
Lattice="4.820 0.000 0.000 0.000 4.820 0.000 0.000 0.000 5.558" Properties=species:S:1:pos:R:3 comment="Ti2SnBiAs | the Alexandria database | PBE-GGA | optimized geometry" rho_g_cm3=6.4 volume_a3_per_cell=129.2 spacegroup="No. 123" e_form_mev_per_atom=337 dos_ef_per_ev_fu=7.3 magmom_total_mub_per_cell=0.00 pbc="T T T"
Ti 0.000 2.410 0.000
Ti 2.410 0.000 0.000
Sn 0.000 0.000 2.779
Bi 2.410 2.410 2.779
As 2.410 2.410 0.000